[1]
The following is a DFT calculation (PBE-GGA) of a geometry-optimized Tb7PrSm3 structure.

The uncorrected energy comes out at -4.53 eV/atom. As for the energy of formation: 13.25 kJ per mole of atoms.

The structure in CIF format:
```
data_Tb7PrSm3
_chemical_formula_sum 'Tb7 Pr1 Sm3'
_symmetry_space_group_name_H-M 'P -1'
_symmetry_Int_Tables_number 2
_cell_length_a 5.589
_cell_length_b 7.005
_cell_length_c 10.028
_cell_angle_alpha 70.09
_cell_angle_beta 90.00
_cell_angle_gamma 89.94
loop_
_symmetry_equiv_pos_as_xyz
'x,y,z'
'-x,-y,-z'
loop_
_atom_site_label
_atom_site_fract_x
_atom_site_fract_y
_atom_site_fract_z
Tb1 0.000 0.000 0.000
Tb2 0.000 0.420 0.170
Tb3 0.500 0.147 0.711
Tb4 0.500 0.321 0.360
Pr1 0.000 0.000 0.500
Sm1 0.000 0.500 0.500
Sm2 0.500 0.281 0.002
```

[2]
The following is a DFT calculation (PBE-GGA) of a geometry-optimized Ac12TlNi6 structure.

The uncorrected energy comes out at -4.78 eV/atom. As for the energy of formation: -22.44 kJ per mole of atoms.

The structure in CIF format:
```
data_Ac12TlNi6
_chemical_formula_sum 'Ac24 Tl2 Ni12'
_symmetry_space_group_name_H-M 'I m -3'
_symmetry_Int_Tables_number 204
_symmetry_space_group_name_Hall '-I 2 2 3'
_cell_length_a 10.710
_cell_length_b 10.710
_cell_length_c 10.710
_cell_angle_alpha 90.00
_cell_angle_beta 90.00
_cell_angle_gamma 90.00
loop_
_atom_site_label
_atom_site_fract_x
_atom_site_fract_y
_atom_site_fract_z
Ac1 0.000 0.312 0.182
Tl1 0.000 0.000 0.000
Ni1 0.000 0.118 0.500
```

[3]
The following is a DFT calculation (PBE-GGA) of a geometry-optimized DyY2Au structure.

The uncorrected energy comes out at -5.60 eV/atom. As for the energy of formation: -38.86 kJ per mole of atoms.

The structure in CIF format:
```
data_DyY2Au
_chemical_formula_sum 'Dy4 Y8 Au4'
_symmetry_space_group_name_H-M 'C m c m'
_symmetry_Int_Tables_number 63
_symmetry_space_group_name_Hall '-C 2c 2'
_cell_length_a 4.984
_cell_length_b 11.957
_cell_length_c 7.751
_cell_angle_alpha 90.00
_cell_angle_beta 90.00
_cell_angle_gamma 90.00
loop_
_atom_site_label
_atom_site_fract_x
_atom_site_fract_y
_atom_site_fract_z
Dy1 0.000 0.042 0.250
Y1 0.000 0.356 0.033
Au1 0.000 0.200 0.750
```

[4]
The following is a DFT calculation (PBE-GGA) of a geometry-optimized Na2TbCeCl8 structure.

The uncorrected energy comes out at -4.42 eV/atom. As for the raw formation energy: -2.088 eV/atom.

The structure in CIF format:
```
data_Na2TbCeCl8
_chemical_formula_sum 'Na2 Tb1 Ce1 Cl8'
_symmetry_space_group_name_H-M 'P 1 2/m 1'
_symmetry_Int_Tables_number 10
_cell_length_a 6.511
_cell_length_b 8.438
_cell_length_c 6.623
_cell_angle_alpha 90.00
_cell_angle_beta 93.43
_cell_angle_gamma 90.00
loop_
_symmetry_equiv_pos_as_xyz
'x,y,z'
'-x,-y,-z'
'-x,y,-z'
'x,-y,z'
loop_
_atom_site_label
_atom_site_fract_x
_atom_site_fract_y
_atom_site_fract_z
Na1 0.000 0.244 0.000
Tb1 0.500 0.000 0.500
Ce1 0.500 0.500 0.500
Cl1 0.215 0.500 0.185
Cl2 0.224 0.000 0.195
Cl3 0.298 0.241 0.671
```

[5]
The following is a DFT calculation (PBE-GGA) of a geometry-optimized HfNb2PdN structure.

The uncorrected energy comes out at -9.42 eV/atom. As for the raw formation energy: -0.693 eV/atom.

The structure in CIF format:
```
data_HfNb2PdN
_chemical_formula_sum 'Hf1 Nb2 Pd1 N1'
_symmetry_space_group_name_H-M 'P 4/m m m'
_symmetry_Int_Tables_number 123
_symmetry_space_group_name_Hall '-P 4 2'
_cell_length_a 4.212
_cell_length_b 4.212
_cell_length_c 4.484
_cell_angle_alpha 90.00
_cell_angle_beta 90.00
_cell_angle_gamma 90.00
loop_
_atom_site_label
_atom_site_fract_x
_atom_site_fract_y
_atom_site_fract_z
Hf1 0.000 0.000 0.000
Nb1 0.000 0.500 0.500
Pd1 0.500 0.500 0.000
N1 0.000 0.000 0.500
```

[6]
The following is a DFT calculation (PBE-GGA) of a geometry-optimized NaLiRhCl6 structure.

The uncorrected energy comes out at -3.45 eV/atom. As for the raw formation energy: -1.043 eV/atom.

The structure in CIF format:
```
data_NaLiRhCl6
_chemical_formula_sum 'Na2 Li2 Rh2 Cl12'
_symmetry_space_group_name_H-M 'P -3 1 c'
_symmetry_Int_Tables_number 163
_symmetry_space_group_name_Hall '-P 3 2c'
_cell_length_a 6.3699
_cell_length_b 6.3699
_cell_length_c 12.0561
_cell_angle_alpha 90.00
_cell_angle_beta 90.00
_cell_angle_gamma 120.00
loop_
_atom_site_label
_atom_site_fract_x
_atom_site_fract_y
_atom_site_fract_z
Na1 0.0000 0.0000 0.0000
Li1 0.3333 0.6667 0.2500
Rh1 0.3333 0.6667 0.7500
Cl1 0.0233 0.3745 0.6382
```

[7]
The following is a DFT calculation (PBE-GGA) of a geometry-optimized PmY2ScS6 structure.

The uncorrected energy comes out at -6.87 eV/atom. As for the raw formation energy: -1.993 eV/atom.

The structure in CIF format:
```
data_PmY2ScS6
_chemical_formula_sum 'Pm3 Y6 Sc3 S18'
_symmetry_space_group_name_H-M 'R 3'
_symmetry_Int_Tables_number 146
_symmetry_space_group_name_Hall 'R 3'
_cell_length_a 6.8691
_cell_length_b 6.8691
_cell_length_c 18.3802
_cell_angle_alpha 90.00
_cell_angle_beta 90.00
_cell_angle_gamma 120.00
loop_
_atom_site_label
_atom_site_fract_x
_atom_site_fract_y
_atom_site_fract_z
Pm1 0.0000 0.0000 0.0000
Y1 0.0000 0.0000 0.2926
Y2 0.0000 0.0000 0.7978
Sc1 0.0000 0.0000 0.4925
S1 0.0073 0.7132 0.3984
S2 0.0316 0.3455 0.5618
```

[8]
The following is a DFT calculation (PBE-GGA) of a geometry-optimized NdHf2Zn6 structure.

The uncorrected energy comes out at -3.81 eV/atom. As for the energy of formation: -21.03 kJ per mole of atoms.

The structure in CIF format:
```
data_NdHf2Zn6
_chemical_formula_sum 'Nd1 Hf2 Zn6'
_symmetry_space_group_name_H-M 'P 6/m m m'
_symmetry_Int_Tables_number 191
_symmetry_space_group_name_Hall '-P 6 2'
_cell_length_a 7.7059
_cell_length_b 7.7059
_cell_length_c 3.1915
_cell_angle_alpha 90.00
_cell_angle_beta 90.00
_cell_angle_gamma 120.00
loop_
_atom_site_label
_atom_site_fract_x
_atom_site_fract_y
_atom_site_fract_z
Nd1 0.0000 0.0000 0.0000
Hf1 0.3333 0.6667 0.0000
Zn1 0.0000 0.3420 0.5000
```

[9]
The following is a DFT calculation (PBE-GGA) of a geometry-optimized CsBaAgS2 structure.

The uncorrected energy comes out at -3.90 eV/atom. As for the raw formation energy: -1.127 eV/atom.

The structure in CIF format:
```
data_CsBaAgS2
_chemical_formula_sum 'Cs4 Ba4 Ag4 S8'
_symmetry_space_group_name_H-M 'C m m e'
_symmetry_Int_Tables_number 67
_symmetry_space_group_name_Hall '-C 2a 2'
_cell_length_a 8.839
_cell_length_b 16.204
_cell_length_c 5.655
_cell_angle_alpha 90.00
_cell_angle_beta 90.00
_cell_angle_gamma 90.00
loop_
_atom_site_label
_atom_site_fract_x
_atom_site_fract_y
_atom_site_fract_z
Cs1 0.000 0.250 0.215
Ba1 0.250 0.000 0.500
Ag1 0.000 0.000 0.000
S1 0.000 0.110 0.728
```

[10]
The following is a DFT calculation (PBE-GGA) of a geometry-optimized YBi2Pb structure.

The uncorrected energy comes out at -4.76 eV/atom. As for the energy of formation: -26.69 kJ per mole of atoms.

The structure in CIF format:
```
data_YBi2Pb
_chemical_formula_sum 'Y3 Bi6 Pb3'
_symmetry_space_group_name_H-M 'R 3 m'
_symmetry_Int_Tables_number 160
_symmetry_space_group_name_Hall 'R 3 -2"'
_cell_length_a 4.7459
_cell_length_b 4.7459
_cell_length_c 21.5741
_cell_angle_alpha 90.00
_cell_angle_beta 90.00
_cell_angle_gamma 120.00
loop_
_atom_site_label
_atom_site_fract_x
_atom_site_fract_y
_atom_site_fract_z
Y1 0.0000 0.0000 0.0000
Bi1 0.0000 0.0000 0.4096
Bi2 0.0000 0.0000 0.5916
Pb1 0.0000 0.0000 0.1709
```

[11]
The following is a DFT calculation (PBE-GGA) of a geometry-optimized NbNiB structure.

The uncorrected energy comes out at -7.85 eV/atom. As for the energy of formation: -32.68 kJ per mole of atoms.

The structure in CIF format:
```
data_NbNiB
_chemical_formula_sum 'Nb2 Ni2 B2'
_symmetry_space_group_name_H-M 'P 1 21/m 1'
_symmetry_Int_Tables_number 11
_cell_length_a 3.821
_cell_length_b 3.179
_cell_length_c 5.792
_cell_angle_alpha 90.00
_cell_angle_beta 97.62
_cell_angle_gamma 90.00
loop_
_symmetry_equiv_pos_as_xyz
'x,y,z'
'-x,-y,-z'
'-x,y+1/2,-z'
'x,-y+1/2,z'
loop_
_atom_site_label
_atom_site_fract_x
_atom_site_fract_y
_atom_site_fract_z
Nb1 0.214 0.250 0.354
Ni1 0.346 0.250 0.843
B1 0.120 0.750 0.029
```

[12]
The following is a DFT calculation (PBE-GGA) of a geometry-optimized H2Pb2O3 structure.

The uncorrected energy comes out at -4.65 eV/atom.

The structure in CIF format:
```
data_H2Pb2O3
_chemical_formula_sum 'H4 Pb4 O6'
_symmetry_space_group_name_H-M 'C 1 2/m 1'
_symmetry_Int_Tables_number 12
_cell_length_a 14.899
_cell_length_b 2.799
_cell_length_c 4.989
_cell_angle_alpha 90.00
_cell_angle_beta 104.10
_cell_angle_gamma 90.00
loop_
_symmetry_equiv_pos_as_xyz
'x,y,z'
'-x,-y,-z'
'-x,y,-z'
'x,-y,z'
'x+1/2,y+1/2,z'
'-x+1/2,-y+1/2,-z'
'-x+1/2,y+1/2,-z'
'x+1/2,-y+1/2,z'
loop_
_atom_site_label
_atom_site_fract_x
_atom_site_fract_y
_atom_site_fract_z
H1 0.166 0.000 0.191
Pb1 0.126 0.500 0.638
O1 0.000 0.000 0.500
O2 0.166 0.500 0.207
```

[13]
The following is a DFT calculation (PBE-GGA) of a geometry-optimized MnGaAu2 structure.

The uncorrected energy comes out at -4.69 eV/atom. As for the energy of formation: -0.52 kJ per mole of atoms.

The structure in CIF format:
```
data_MnGaAu2
_chemical_formula_sum 'Mn3 Ga3 Au6'
_symmetry_space_group_name_H-M 'R 3 m'
_symmetry_Int_Tables_number 160
_symmetry_space_group_name_Hall 'R 3 -2"'
_cell_length_a 3.2440
_cell_length_b 3.2440
_cell_length_c 23.7045
_cell_angle_alpha 90.00
_cell_angle_beta 90.00
_cell_angle_gamma 120.00
loop_
_atom_site_label
_atom_site_fract_x
_atom_site_fract_y
_atom_site_fract_z
Mn1 0.0000 0.0000 0.0000
Ga1 0.0000 0.0000 0.1667
Au1 0.0000 0.0000 0.4165
Au2 0.0000 0.0000 0.5835
```

[14]
The following is a DFT calculation (PBE-GGA) of a geometry-optimized NaAgPd2Pb structure.

The uncorrected energy comes out at -2.84 eV/atom. As for the energy of formation: 78.79 kJ per mole of atoms.

The structure in CIF format:
```
data_NaAgPd2Pb
_chemical_formula_sum 'Na1 Ag1 Pd2 Pb1'
_symmetry_space_group_name_H-M 'P 4/m m m'
_symmetry_Int_Tables_number 123
_symmetry_space_group_name_Hall '-P 4 2'
_cell_length_a 4.747
_cell_length_b 4.747
_cell_length_c 5.270
_cell_angle_alpha 90.00
_cell_angle_beta 90.00
_cell_angle_gamma 90.00
loop_
_atom_site_label
_atom_site_fract_x
_atom_site_fract_y
_atom_site_fract_z
Na1 0.000 0.000 0.000
Ag1 0.500 0.500 0.500
Pd1 0.000 0.500 0.000
Pb1 0.000 0.000 0.500
```

[15]
The following is a DFT calculation (PBE-GGA) of a geometry-optimized Ca2ZrRu structure.

The uncorrected energy comes out at -4.80 eV/atom. As for the energy of formation: 63.20 kJ per mole of atoms.

The structure in CIF format:
```
data_Ca2ZrRu
_chemical_formula_sum 'Ca8 Zr4 Ru4'
_symmetry_space_group_name_H-M 'F m -3 m'
_symmetry_Int_Tables_number 225
_symmetry_space_group_name_Hall '-F 4 2 3'
_cell_length_a 7.225
_cell_length_b 7.225
_cell_length_c 7.225
_cell_angle_alpha 90.00
_cell_angle_beta 90.00
_cell_angle_gamma 90.00
loop_
_atom_site_label
_atom_site_fract_x
_atom_site_fract_y
_atom_site_fract_z
Ca1 0.250 0.250 0.250
Zr1 0.000 0.000 0.000
Ru1 0.000 0.000 0.500
```

[16]
The following is a DFT calculation (PBE-GGA) of a geometry-optimized Sr3Si3Au8 structure.

The uncorrected energy comes out at -3.89 eV/atom. As for the raw formation energy: -0.491 eV/atom.

The structure in CIF format:
```
data_Sr3Si3Au8
_chemical_formula_sum 'Sr6 Si6 Au16'
_symmetry_space_group_name_H-M 'C 1 2/m 1'
_symmetry_Int_Tables_number 12
_cell_length_a 16.978
_cell_length_b 4.594
_cell_length_c 9.094
_cell_angle_alpha 90.00
_cell_angle_beta 121.85
_cell_angle_gamma 90.00
loop_
_symmetry_equiv_pos_as_xyz
'x,y,z'
'-x,-y,-z'
'-x,y,-z'
'x,-y,z'
'x+1/2,y+1/2,z'
'-x+1/2,-y+1/2,-z'
'-x+1/2,y+1/2,-z'
'x+1/2,-y+1/2,z'
loop_
_atom_site_label
_atom_site_fract_x
_atom_site_fract_y
_atom_site_fract_z
Sr1 0.000 0.000 0.000
Sr2 0.212 0.500 0.744
Si1 0.000 0.000 0.500
Si2 0.167 0.500 0.326
Au1 0.021 0.500 0.353
Au2 0.112 0.000 0.820
Au3 0.141 0.500 0.031
Au4 0.151 0.000 0.433
```

[17]
The following is a DFT calculation (PBE-GGA) of a geometry-optimized Tl2ZnCdBr structure.

The uncorrected energy comes out at -1.47 eV/atom. As for the raw formation energy: 0.247 eV/atom.

The structure in CIF format:
```
data_Tl2ZnCdBr
_chemical_formula_sum 'Tl2 Zn1 Cd1 Br1'
_symmetry_space_group_name_H-M 'P 4/m m m'
_symmetry_Int_Tables_number 123
_symmetry_space_group_name_Hall '-P 4 2'
_cell_length_a 6.160
_cell_length_b 6.160
_cell_length_c 6.501
_cell_angle_alpha 90.00
_cell_angle_beta 90.00
_cell_angle_gamma 90.00
loop_
_atom_site_label
_atom_site_fract_x
_atom_site_fract_y
_atom_site_fract_z
Tl1 0.000 0.500 0.000
Zn1 0.000 0.000 0.500
Cd1 0.500 0.500 0.500
Br1 0.500 0.500 0.000
```

[18]
The following is a DFT calculation (PBE-GGA) of a geometry-optimized RbIn4Br5 structure.

The uncorrected energy comes out at -2.89 eV/atom. As for the raw formation energy: -0.866 eV/atom.

The structure in CIF format:
```
data_RbIn4Br5
_chemical_formula_sum 'Rb2 In8 Br10'
_symmetry_space_group_name_H-M 'I 4/m'
_symmetry_Int_Tables_number 87
_symmetry_space_group_name_Hall '-I 4'
_cell_length_a 10.670
_cell_length_b 10.670
_cell_length_c 6.746
_cell_angle_alpha 90.00
_cell_angle_beta 90.00
_cell_angle_gamma 90.00
loop_
_atom_site_label
_atom_site_fract_x
_atom_site_fract_y
_atom_site_fract_z
Rb1 0.000 0.000 0.000
In1 0.101 0.300 0.500
Br1 0.000 0.000 0.500
Br2 0.100 0.309 0.000
```

[19]
The following is a DFT calculation (PBE-GGA) of a geometry-optimized Tb9PrSm2 structure.

The uncorrected energy comes out at -4.64 eV/atom. As for the energy of formation: 1.81 kJ per mole of atoms.

The structure in CIF format:
```
data_Tb9PrSm2
_chemical_formula_sum 'Tb9 Pr1 Sm2'
_symmetry_space_group_name_H-M 'P 4/m m m'
_symmetry_Int_Tables_number 123
_symmetry_space_group_name_Hall '-P 4 2'
_cell_length_a 5.068
_cell_length_b 5.068
_cell_length_c 15.201
_cell_angle_alpha 90.00
_cell_angle_beta 90.00
_cell_angle_gamma 90.00
loop_
_atom_site_label
_atom_site_fract_x
_atom_site_fract_y
_atom_site_fract_z
Tb1 0.000 0.000 0.000
Tb2 0.000 0.000 0.334
Tb3 0.000 0.500 0.168
Tb4 0.000 0.500 0.500
Pr1 0.500 0.500 0.000
Sm1 0.500 0.500 0.334
```

[20]
The following is a DFT calculation (PBE-GGA) of a geometry-optimized Cr2CoNi structure.

The uncorrected energy comes out at -8.00 eV/atom. As for the energy of formation: 3.40 kJ per mole of atoms.

The structure in CIF format:
```
data_Cr2CoNi
_chemical_formula_sum 'Cr2 Co1 Ni1'
_symmetry_space_group_name_H-M 'P m m m'
_symmetry_Int_Tables_number 47
_cell_length_a 2.455
_cell_length_b 3.644
_cell_length_c 4.912
_cell_angle_alpha 90.00
_cell_angle_beta 90.00
_cell_angle_gamma 90.00
loop_
_symmetry_equiv_pos_as_xyz
'x,y,z'
'-x,-y,-z'
'-x,-y,z'
'x,y,-z'
'x,-y,-z'
'-x,y,z'
'-x,y,-z'
'x,-y,z'
loop_
_atom_site_label
_atom_site_fract_x
_atom_site_fract_y
_atom_site_fract_z
Cr1 0.000 0.000 0.242
Co1 0.500 0.500 0.000
Ni1 0.500 0.500 0.500
```